[1]
# Ho3Be4Co4 PBE optimized geometry
# density	7981	kg/m3
# total energy	-118.45	eV for the cell shown
# energy relative to the elements	-197	meV/atom
# magnetic moment	0.0	μB/f.u.
data_Ho3Be4Co4
_chemical_formula_sum 'Ho6 Be8 Co8'
_cell_length_a 6.833
_cell_length_b 6.833
_cell_length_c 6.833
_cell_angle_alpha 90.00
_cell_angle_beta 90.00
_cell_angle_gamma 90.00
_space_group_name_H-M_alt 'I -4 3 m'
_space_group_IT_number 217
_space_group_name_Hall 'I -4 2 3'
loop_
_atom_site_label
_atom_site_type_symbol
_atom_site_fract_x
_atom_site_fract_y
_atom_site_fract_z
Ho1 Ho 0.000 0.000 0.500
Be1 Be 0.190 0.190 0.810
Co1 Co 0.126 0.126 0.126

---

[2]
# SbAs2Au PBE optimized geometry
# density	9257	kg/m3
# total energy	-30.59	eV for the cell shown
# magnetic moment	0.0	μB/f.u.
# formation energy from raw total energies	0.351	eV/atom
data_SbAs2Au
_chemical_formula_sum 'Sb2 As4 Au2'
_cell_length_a 6.022
_cell_length_b 9.890
_cell_length_c 2.987
_cell_angle_alpha 90.00
_cell_angle_beta 109.08
_cell_angle_gamma 90.00
_space_group_name_H-M_alt 'C 1 2/m 1'
_space_group_IT_number 12
_space_group_name_Hall '-C 2y'
loop_
_atom_site_label
_atom_site_type_symbol
_atom_site_fract_x
_atom_site_fract_y
_atom_site_fract_z
Sb1 Sb 0.000 0.000 0.000
As1 As 0.250 0.250 0.500
Au1 Au 0.000 0.500 0.000

---

[3]
# Pu5Te4P PBE optimized geometry
# density	9947	kg/m3
# total energy	-201.04	eV for the cell shown
# magnetic moment	28.7	μB/f.u.
# formation energy from raw total energies	-1.088	eV/atom
data_Pu5Te4P
_chemical_formula_sum 'Pu10 Te8 P2'
_cell_length_a 9.756
_cell_length_b 9.756
_cell_length_c 6.178
_cell_angle_alpha 90.00
_cell_angle_beta 90.00
_cell_angle_gamma 90.00
_space_group_name_H-M_alt 'I 4/m'
_space_group_IT_number 87
_space_group_name_Hall '-I 4'
loop_
_atom_site_label
_atom_site_type_symbol
_atom_site_fract_x
_atom_site_fract_y
_atom_site_fract_z
Pu1 Pu 0.000 0.000 0.000
Pu2 Pu 0.096 0.275 0.500
Te1 Te 0.091 0.305 0.000
P1 P 0.000 0.000 0.500

---

Q: Number 2 is which compound?
A: SbAs2Au

---

Please write out number 2 again, unchanged.
# SbAs2Au PBE optimized geometry
# density	9257	kg/m3
# total energy	-30.59	eV for the cell shown
# magnetic moment	0.0	μB/f.u.
# formation energy from raw total energies	0.351	eV/atom
data_SbAs2Au
_chemical_formula_sum 'Sb2 As4 Au2'
_cell_length_a 6.022
_cell_length_b 9.890
_cell_length_c 2.987
_cell_angle_alpha 90.00
_cell_angle_beta 109.08
_cell_angle_gamma 90.00
_space_group_name_H-M_alt 'C 1 2/m 1'
_space_group_IT_number 12
_space_group_name_Hall '-C 2y'
loop_
_atom_site_label
_atom_site_type_symbol
_atom_site_fract_x
_atom_site_fract_y
_atom_site_fract_z
Sb1 Sb 0.000 0.000 0.000
As1 As 0.250 0.250 0.500
Au1 Au 0.000 0.500 0.000

---

Q: Among the records above, which one has the lowest total energy?
A: Pu5Te4P